[1]
Density functional theory data (PBE) for a geometry-optimized NaTiCr3 structure.

Cell and atoms, written as POSCAR:
```
NaTiCr3
1.0
4.756 0.000 0.000
0.000 4.756 0.000
0.000 0.000 4.756
Na Ti Cr
1 1 3
Direct
0.000 0.000 0.000
0.500 0.500 0.500
0.000 0.500 0.500
0.500 0.000 0.500
0.500 0.500 0.000
```

Values from the calculation:
**Formation energy**: 1.35 eV per atom
**Space-group type**: Pm-3m, No. 221
**E above lowest polymorph**: 0.000 eV per atom

---

[2]
Density functional theory data (PBE) for a geometry-optimized LaTl2Ir structure.

Cell and atoms, written as POSCAR:
```
LaTl2Ir
1.0
5.970 0.000 0.000
0.000 12.148 0.000
-2.886 0.000 3.001
La Tl Ir
2 4 2
Direct
0.000 0.000 0.000
0.500 0.500 0.000
0.250 0.250 0.500
0.250 0.750 0.500
0.750 0.250 0.500
0.750 0.750 0.500
0.000 0.500 0.000
0.500 0.000 0.000
```

Values from the calculation:
**Formation energy**: 0.01 eV per atom
**Space-group type**: C2/m, No. 12

---

[3]
Density functional theory data (PBE) for a geometry-optimized Be2SN structure.

Cell and atoms, written as POSCAR:
```
Be2SN
1.0
4.467 0.000 0.000
0.000 4.467 0.000
0.000 0.000 8.445
Be S N
8 4 4
Direct
0.155 0.250 0.125
0.250 0.655 0.375
0.250 0.845 0.875
0.345 0.250 0.625
0.655 0.750 0.625
0.750 0.155 0.875
0.750 0.345 0.375
0.845 0.750 0.125
0.000 0.000 0.500
0.000 0.500 0.750
0.500 0.000 0.250
0.500 0.500 0.000
0.000 0.000 0.000
0.000 0.500 0.250
0.500 0.000 0.750
0.500 0.500 0.500
```

Values from the calculation:
**Space-group type**: I-42d, No. 122
**E above lowest polymorph**: 0.000 eV per atom
**Energy relative to the elements, uncorrected**: -0.58 eV/atom

---

[4]
Density functional theory data (PBE) for a geometry-optimized ZnPbBr structure.

Cell and atoms, written as POSCAR:
```
ZnPbBr
1.0
5.272 0.000 0.000
-2.636 4.566 0.000
0.000 0.000 3.526
Zn Pb Br
1 1 1
Direct
0.000 0.000 0.000
0.333 0.667 0.655
0.667 0.333 0.458
```

Values from the calculation:
**Space-group type**: P3m1, No. 156
**E above lowest polymorph**: 0.178 eV per atom
**Energy relative to the elements, uncorrected**: -0.03 eV/atom

---

[5]
Density functional theory data (PBE) for a geometry-optimized NbINO2 structure.

Cell and atoms, written as POSCAR:
```
NbINO2
1.0
3.986 0.000 0.000
0.000 3.986 0.000
0.000 0.000 4.203
Nb I N O
1 1 1 2
Direct
0.000 0.000 0.000
0.500 0.500 0.000
0.500 0.500 0.500
0.000 0.500 0.500
0.500 0.000 0.500
```

Values from the calculation:
**Space-group type**: P4/mmm, No. 123
**Energy relative to the elements, uncorrected**: 1.22 eV/atom

---

[6]
Density functional theory data (PBE) for a geometry-optimized BaHgBPt2 structure.

Cell and atoms, written as POSCAR:
```
BaHgBPt2
1.0
5.489 0.000 0.000
0.000 5.489 0.000
0.000 0.000 5.291
Ba Hg B Pt
1 1 1 2
Direct
0.000 0.000 0.000
0.500 0.500 0.500
0.000 0.000 0.500
0.000 0.500 0.000
0.500 0.000 0.000
```

Values from the calculation:
**Formation energy**: 1.86 eV per atom
**Space-group type**: P4/mmm, No. 123

---

[7]
Density functional theory data (PBE) for a geometry-optimized Pr6RuRh2I3 structure.

Cell and atoms, written as POSCAR:
```
Pr6RuRh2I3
1.0
3.632 -6.289 0.000
3.632 6.289 0.000
-2.421 0.000 8.239
Pr Ru Rh I
6 1 2 3
Direct
0.062 0.390 0.186
0.266 0.266 0.813
0.390 0.062 0.186
0.610 0.938 0.814
0.734 0.734 0.187
0.938 0.610 0.814
0.000 0.000 0.000
0.333 0.667 0.000
0.667 0.333 0.000
0.166 0.834 0.500
0.500 0.500 0.500
0.834 0.166 0.500
```

Values from the calculation:
**Space-group type**: C2/m, No. 12
**Energy relative to the elements, uncorrected**: -0.84 eV/atom

---

[8]
Density functional theory data (PBE) for a geometry-optimized RbUFeSe3 structure.

Cell and atoms, written as POSCAR:
```
RbUFeSe3
1.0
9.513 0.000 0.000
0.000 4.025 0.000
-3.906 0.000 9.071
Rb U Fe Se
2 2 2 6
Direct
0.213 0.250 0.243
0.787 0.750 0.757
0.315 0.750 0.835
0.685 0.250 0.165
0.078 0.250 0.592
0.922 0.750 0.408
0.114 0.250 0.852
0.205 0.750 0.528
0.465 0.750 0.153
0.535 0.250 0.847
0.795 0.250 0.472
0.886 0.750 0.148
```

Values from the calculation:
**Space-group type**: P2_1/m, No. 11
**Energy relative to the elements, uncorrected**: -0.97 eV/atom

---

[9]
Density functional theory data (PBE) for a geometry-optimized Li3MgZn2 structure.

Cell and atoms, written as POSCAR:
```
Li3MgZn2
1.0
6.722 -2.238 0.000
6.722 2.238 0.000
-0.204 0.000 6.564
Li Mg Zn
6 2 4
Direct
0.082 0.082 0.380
0.255 0.255 0.612
0.416 0.416 0.859
0.584 0.584 0.141
0.745 0.745 0.388
0.918 0.918 0.620
0.095 0.095 0.872
0.905 0.905 0.128
0.259 0.259 0.137
0.420 0.420 0.386
0.580 0.580 0.614
0.741 0.741 0.863
```

Values from the calculation:
**Formation energy**: -0.14 eV per atom
**Space-group type**: C2/m, No. 12
**E above lowest polymorph**: 0.000 eV per atom

---

Taking the records one at a time from the top gives N(E_F) values of 0.584 0.586 0.729 0.374 0.946 0.842 0.387 0.811 0.244 states/eV/atom.
Taking the records one at a time from the top gives magnetization values of 2.121 0.000 0.000 0.000 0.000 0.000 0.000 0.166 0.000 μB/atom.